[1]
VASP calculation (PBE) on crystalline P2HSe at its relaxed geometry.

Results
**Crystal system**: monoclinic
**E above lowest polymorph**: 1.727 kcal/mol of atoms

```
data_P2HSe
_cell_length_a 4.815
_cell_length_b 3.159
_cell_length_c 5.959
_cell_angle_alpha 90.00
_cell_angle_beta 106.75
_cell_angle_gamma 90.00
_symmetry_space_group_name_H-M 'P 1 m 1'
_symmetry_Int_Tables_number 6
loop_
_symmetry_equiv_pos_as_xyz
'x,y,z'
'x,-y,z'
loop_
_atom_site_label
_atom_site_type_symbol
_atom_site_fract_x
_atom_site_fract_y
_atom_site_fract_z
P1 P 0.000 0.000 0.000
P2 P 0.054 0.500 0.270
H1 H 0.365 0.500 0.329
Se1 Se 0.474 0.000 0.878
```

[2]
VASP calculation (PBE) on crystalline Np3Tl3PbSe8 at its relaxed geometry.

Results
**Formation energy from raw total energies**: -0.84 eV/atom
**Crystal system**: trigonal

```
data_Np3Tl3PbSe8
_cell_length_a 8.4816
_cell_length_b 8.4816
_cell_length_c 22.8758
_cell_angle_alpha 90.00
_cell_angle_beta 90.00
_cell_angle_gamma 120.00
_symmetry_space_group_name_H-M 'R -3 m'
_symmetry_Int_Tables_number 166
_symmetry_space_group_name_Hall '-R 3 2"'
loop_
_atom_site_label
_atom_site_type_symbol
_atom_site_fract_x
_atom_site_fract_y
_atom_site_fract_z
Np1 Np 0.0000 0.5000 0.0000
Tl1 Tl 0.0000 0.5000 0.5000
Pb1 Pb 0.0000 0.0000 0.0000
Se1 Se 0.0000 0.0000 0.2656
Se2 Se 0.0243 0.5122 0.2647
```

Calculated calculated total energy in order - -17.37, -270.30 eV/cell
Calculated mass density in order - 2.71, 7.56 g/cm³